Entry 1:
# TbGa2Cu9

Crystalline TbGa2Cu9 at its relaxed geometry (PBE-GGA, Alexandria).

Computed properties:
DFT formation energy	-121	meV per atom
space-group type	R-3m
ρ	8466	kg/m3

Cell lengths 8.468, 8.468, 8.468 Å; angles 34.16, 34.16, 34.16 degrees
Fractional coordinates of all 12 atoms:
Tb (0.000, 0.000, 0.000)
Ga (0.142, 0.142, 0.142)
Ga (0.858, 0.858, 0.858)
Cu (0.081, 0.589, 0.589)
Cu (0.334, 0.334, 0.334)
Cu (0.411, 0.411, 0.919)
Cu (0.411, 0.919, 0.411)
Cu (0.500, 0.500, 0.500)
Cu (0.589, 0.081, 0.589)
Cu (0.589, 0.589, 0.081)
Cu (0.666, 0.666, 0.666)
Cu (0.919, 0.411, 0.411)



Entry 2:
# Zr2Ga5Co3

Crystalline Zr2Ga5Co3 at its relaxed geometry (PBE-GGA, Alexandria).

Computed properties:
DFT formation energy	-424	meV per atom
space-group type	Cmc2_1
ρ	7724	kg/m3

Cell lengths 12.050, 12.050, 6.350 Å; angles 90.00, 90.00, 160.72 degrees
Fractional coordinates of all 20 atoms:
Zr (0.021, 0.979, 0.500)
Zr (0.328, 0.672, 0.538)
Zr (0.672, 0.328, 0.038)
Zr (0.979, 0.021, 0.000)
Ga (0.099, 0.901, 0.852)
Ga (0.206, 0.794, 0.338)
Ga (0.211, 0.789, 0.750)
Ga (0.376, 0.624, 0.010)
Ga (0.449, 0.551, 0.677)
Ga (0.551, 0.449, 0.177)
Ga (0.624, 0.376, 0.510)
Ga (0.789, 0.211, 0.250)
Ga (0.794, 0.206, 0.838)
Ga (0.901, 0.099, 0.352)
Co (0.107, 0.893, 0.236)
Co (0.274, 0.726, 0.047)
Co (0.452, 0.548, 0.281)
Co (0.548, 0.452, 0.781)
Co (0.726, 0.274, 0.547)
Co (0.893, 0.107, 0.736)



Entry 3:
# Rb2AgF7

Crystalline Rb2AgF7 at its relaxed geometry (PBE-GGA, Alexandria).

Computed properties:
space-group type	Fm-3m
formation energy (no corrections)	-1.603	eV/atom
ρ	3947	kg/m3

Cell lengths 6.258, 6.258, 6.258 Å; angles 60.00, 60.00, 60.00 degrees
Fractional coordinates of all 10 atoms:
Rb (0.250, 0.250, 0.250)
Rb (0.750, 0.750, 0.750)
Ag (0.000, 0.000, 0.000)
F (0.226, 0.226, 0.774)
F (0.226, 0.774, 0.226)
F (0.226, 0.774, 0.774)
F (0.500, 0.500, 0.500)
F (0.774, 0.226, 0.226)
F (0.774, 0.226, 0.774)
F (0.774, 0.774, 0.226)



Entry 4:
# BNF4

Crystalline BNF4 at its relaxed geometry (PBE-GGA, Alexandria).

Computed properties:
space-group type	Pnma
formation energy (no corrections)	-1.221	eV/atom
ρ	1907	kg/m3

Cell lengths 7.957, 5.784, 7.631 Å; angles 90.00, 90.00, 90.00 degrees
Fractional coordinates of all 24 atoms:
B (0.070, 0.250, 0.177)
B (0.430, 0.750, 0.677)
B (0.570, 0.250, 0.323)
B (0.930, 0.750, 0.823)
N (0.069, 0.750, 0.273)
N (0.431, 0.250, 0.773)
N (0.569, 0.750, 0.227)
N (0.931, 0.250, 0.727)
F (0.069, 0.056, 0.308)
F (0.069, 0.444, 0.308)
F (0.075, 0.750, 0.918)
F (0.215, 0.250, 0.083)
F (0.285, 0.750, 0.583)
F (0.425, 0.250, 0.418)
F (0.431, 0.556, 0.808)
F (0.431, 0.944, 0.808)
F (0.569, 0.056, 0.192)
F (0.569, 0.444, 0.192)
F (0.575, 0.750, 0.582)
F (0.715, 0.250, 0.417)
F (0.785, 0.750, 0.917)
F (0.925, 0.250, 0.082)
F (0.931, 0.556, 0.692)
F (0.931, 0.944, 0.692)